Density functional theory data (PBE with a Hubbard U) for MgCr2O4 after structural relaxation. Values from VASP.

Results
Energy above the lowest structure with this stoichiometry = 117 meV per atom
Calculated volume = 9.92 Å³ per atom
D(E_F) = 0.00 states/eV per atom
Raw total energy = -7.33 eV/atom

Structure (Quantum ESPRESSO input):
```
&SYSTEM
  ibrav = 0, nat = 28, ntyp = 3
/
ATOMIC_SPECIES
O 16.00 O.upf
Cr 52.00 Cr.upf
Mg 24.30 Mg.upf
ATOMIC_POSITIONS angstrom
O 6.9555 -5.1758 3.4816
Cr 5.8824 -2.4482 5.1837
O 2.1086 -0.5262 5.7516
Cr 3.1818 -3.2538 4.0495
O 6.1137 -4.1069 6.3555
Cr 2.1323 0.1033 3.7736
O 8.6039 -4.8365 8.3088
Cr 4.7233 -7.4926 1.2664
Mg 4.7505 -5.5068 3.3894
Cr 5.5893 -1.4514 8.5815
O 1.9444 -2.9423 0.3577
Cr 3.4748 -4.2506 0.6517
O 3.9732 -0.2142 8.1189
Mg 4.3137 -0.1951 5.8438
Cr 6.9319 -5.8052 5.4596
O 3.9147 -2.4170 5.7329
O 8.6398 -4.8746 5.6403
O 5.1495 -3.2850 3.5004
Mg 8.1183 -3.1259 6.9137
O 0.4602 -0.8655 0.9245
O 5.0909 -5.4877 1.1143
O 2.9735 -4.4838 2.5251
Cr 4.3409 1.7907 7.9669
Mg 0.9458 -2.5760 2.3196
O 0.4244 -0.8273 3.5929
O 7.1198 -2.7596 8.8755
O 2.9504 -1.5951 2.8777
O 6.0907 -1.2181 6.7081
CELL_PARAMETERS angstrom
-1.7639 -1.7008 1.6135
5.7513 -6.9355 -1.0235
5.0768 2.9344 8.6433
```